Below is a relaxed CrCuIO2 crystal, with properties calculated at the PBE with a Hubbard U level.

Results
- Polymorph energy (0 for the lowest one): 0.000 eV per atom
- D(E_F): 2.74 states/eV/cell
- Electronic total energy: -25.71 eV for the cell shown
- Magnetization: 2.1 Bohr magnetons per cell
- Volume: 98.8 Å³ per cell

Structure (CIF):
```
data_CrCuIO2
_chemical_formula_sum 'Cr1 Cu1 I1 O2'
_symmetry_space_group_name_H-M 'P 4/m m m'
_symmetry_Int_Tables_number 123
_symmetry_space_group_name_Hall '-P 4 2'
_cell_length_a 3.7202
_cell_length_b 3.7202
_cell_length_c 7.1382
_cell_angle_alpha 90.00
_cell_angle_beta 90.00
_cell_angle_gamma 90.00
loop_
_atom_site_label
_atom_site_type_symbol
_atom_site_fract_x
_atom_site_fract_y
_atom_site_fract_z
Cr1 Cr 0.0000 0.0000 0.0000
Cu1 Cu 0.5000 0.5000 0.5000
I1 I 0.0000 0.0000 0.5000
O1 O 0.0000 0.5000 0.0000
```